Below is CaMnSnWO6 after structural relaxation, with properties calculated at the GGA+U level.

E = -69.6 eV per cell

abc: 5.7406 5.7406 5.7406
angles: 60.00 60.00 60.00
Fractional coordinates of all 10 atoms:
Ca 0.7500 0.7500 0.7500
Mn 0.0000 0.0000 0.0000
Sn 0.2500 0.2500 0.2500
W 0.5000 0.5000 0.5000
O 0.2608 0.7392 0.2608
O 0.7392 0.2608 0.7392
O 0.2608 0.7392 0.7392
O 0.7392 0.2608 0.2608
O 0.2608 0.2608 0.7392
O 0.7392 0.7392 0.2608